(1)
# Pr2InSi

A geometry-optimized Pr2InSi structure (GGA-PBE, the Alexandria database).

Results
- Size of the total moment: 0.000 μB per atom
- E_tot: -0.1774 Ha/atom
- Formation energy without anion corrections: -38 kJ/mol of atoms
- Space-group type: R-3m, No. 166

Structure (POSCAR):
```
Pr2InSi
1.0
2.148 1.240 7.865
-2.148 1.240 7.865
0.000 -2.480 7.865
Pr In Si
2 1 1
direct
0.236 0.236 0.236
0.764 0.764 0.764
0.000 0.000 0.000
0.500 0.500 0.500
```

=====

(2)
# CaIn2GeSb

A geometry-optimized CaIn2GeSb structure (GGA-PBE, the Alexandria database).

Results
- Size of the total moment: 0.000 μB per atom
- E_tot: -0.1185 Ha/atom
- Formation energy without anion corrections: 2 kJ/mol of atoms
- Space-group type: P4/mmm, No. 123

Structure (POSCAR):
```
CaIn2GeSb
1.0
5.273 0.000 0.000
0.000 5.273 0.000
0.000 0.000 5.620
Ca In Ge Sb
1 2 1 1
direct
0.000 0.000 0.000
0.000 0.500 0.500
0.500 0.000 0.500
0.000 0.000 0.500
0.500 0.500 0.000
```

=====

(3)
# BaNaLiPb

A geometry-optimized BaNaLiPb structure (GGA-PBE, the Alexandria database).

Results
- Formation energy: -0.301 eV/atom
- Size of the total moment: 0.000 μB per atom
- E_tot: -0.0925 Ha/atom
- Space-group type: F-43m, No. 216

Structure (POSCAR):
```
BaNaLiPb
1.0
0.000 3.898 3.898
3.898 0.000 3.898
3.898 3.898 0.000
Ba Na Li Pb
1 1 1 1
direct
0.000 0.000 0.000
0.250 0.250 0.250
0.750 0.750 0.750
0.500 0.500 0.500
```